Record 1
Entry from the Open Quantum Materials Database: a geometry-optimized PuGaFe structure (PBE-GGA).

- total energy (eV per atom) = -7.3866
- crystal system = cubic

abc: 4.324 4.324 4.324
angles: 60.00 60.00 60.00
Fractional coordinates of all 3 atoms:
Pu1 0.000 0.000 0.000
Ga1 0.250 0.250 0.250
Fe1 0.750 0.750 0.750



Record 2
Entry from the Open Quantum Materials Database: a geometry-optimized PuGaFe structure (PBE-GGA).

- total energy (eV per atom) = -8.8703
- crystal system = orthorhombic

abc: 4.619 4.395 10.445
angles: 90.00 90.00 90.00
Fractional coordinates of all 12 atoms:
Pu1 0.103 0.250 0.127
Pu2 0.397 0.750 0.627
Pu3 0.603 0.250 0.373
Pu4 0.897 0.750 0.873
Ga1 0.113 0.750 0.331
Ga2 0.387 0.250 0.831
Ga3 0.613 0.750 0.169
Ga4 0.887 0.250 0.669
Fe1 0.096 0.250 0.445
Fe2 0.404 0.750 0.945
Fe3 0.596 0.250 0.055
Fe4 0.904 0.750 0.555



Record 3
Entry from the Open Quantum Materials Database: a geometry-optimized PuGaFe structure (PBE-GGA).

- total energy (eV per atom) = -8.5135
- crystal system = cubic

abc: 4.232 4.232 4.232
angles: 60.00 60.00 60.00
Fractional coordinates of all 3 atoms:
Pu1 0.000 0.000 0.000
Ga1 0.500 0.500 0.500
Fe1 0.750 0.750 0.750



Record 4
Entry from the Open Quantum Materials Database: a geometry-optimized ScGaFeRe structure (PBE-GGA).

- total energy (eV per atom) = -7.4290
- crystal system = cubic

abc: 4.421 4.421 4.421
angles: 60.00 60.00 60.00
Fractional coordinates of all 4 atoms:
Sc1 0.000 0.000 0.000
Ga1 0.250 0.250 0.250
Fe1 0.500 0.500 0.500
Re1 0.750 0.750 0.750



Record 5
Entry from the Open Quantum Materials Database: a geometry-optimized GaFeReTc structure (PBE-GGA).

- total energy (eV per atom) = -8.4722
- crystal system = cubic

abc: 4.248 4.248 4.248
angles: 60.00 60.00 60.00
Fractional coordinates of all 4 atoms:
Ga1 0.000 0.000 0.000
Fe1 0.250 0.250 0.250
Re1 0.500 0.500 0.500
Tc1 0.750 0.750 0.750



Record 6
Entry from the Open Quantum Materials Database: a geometry-optimized ZnGaFeRe structure (PBE-GGA).

- total energy (eV per atom) = -5.9804
- crystal system = cubic

abc: 4.246 4.246 4.246
angles: 60.00 60.00 60.00
Fractional coordinates of all 4 atoms:
Zn1 0.000 0.000 0.000
Ga1 0.500 0.500 0.500
Fe1 0.750 0.750 0.750
Re1 0.250 0.250 0.250



Record 7
Entry from the Open Quantum Materials Database: a geometry-optimized ZnGaFeRe structure (PBE-GGA).

- total energy (eV per atom) = -5.9713
- crystal system = cubic

abc: 4.243 4.243 4.243
angles: 60.00 60.00 60.00
Fractional coordinates of all 4 atoms:
Zn1 0.000 0.000 0.000
Ga1 0.250 0.250 0.250
Fe1 0.500 0.500 0.500
Re1 0.750 0.750 0.750



Record 8
Entry from the Open Quantum Materials Database: a geometry-optimized ZrGaFeRe structure (PBE-GGA).

- total energy (eV per atom) = -7.9429
- crystal system = cubic

abc: 4.498 4.498 4.498
angles: 60.00 60.00 60.00
Fractional coordinates of all 4 atoms:
Zr1 0.000 0.000 0.000
Ga1 0.250 0.250 0.250
Fe1 0.500 0.500 0.500
Re1 0.750 0.750 0.750



Record 9
Entry from the Open Quantum Materials Database: a geometry-optimized ZrGaFeRe structure (PBE-GGA).

- total energy (eV per atom) = -8.0643
- crystal system = cubic

abc: 4.440 4.440 4.440
angles: 60.00 60.00 60.00
Fractional coordinates of all 4 atoms:
Zr1 0.000 0.000 0.000
Ga1 0.500 0.500 0.500
Fe1 0.750 0.750 0.750
Re1 0.250 0.250 0.250



Record 10
Entry from the Open Quantum Materials Database: a geometry-optimized Ga2FeSe2S2 structure (PBE-GGA).

- total energy (eV per atom) = -4.7226
- crystal system = monoclinic

abc: 6.554 6.554 5.491
angles: 114.06 114.06 107.97
Fractional coordinates of all 7 atoms:
Ga1 0.000 0.000 0.000
Ga2 0.757 0.243 0.500
Fe1 0.496 0.504 0.000
Se1 0.370 0.103 0.505
Se2 0.897 0.630 0.495
S1 0.122 0.372 0.994
S2 0.628 0.878 0.006



Record 11
Entry from the Open Quantum Materials Database: a geometry-optimized Ga2FeSe3S structure (PBE-GGA).

- total energy (eV per atom) = -4.6074
- crystal system = triclinic

abc: 5.569 5.599 6.643
angles: 65.08 65.46 89.22
Fractional coordinates of all 7 atoms:
Ga1 0.000 0.000 0.000
Ga2 0.242 0.753 0.493
Fe1 0.755 0.242 0.489
Se1 0.382 0.856 0.757
Se2 0.622 0.620 0.230
Se3 0.852 0.378 0.756
S1 0.117 0.120 0.247



Record 12
Entry from the Open Quantum Materials Database: a geometry-optimized Sm3GaFeS7 structure (PBE-GGA).

- total energy (eV per atom) = -6.0098
- crystal system = monoclinic

abc: 9.807 6.148 9.828
angles: 90.00 119.81 90.00
Fractional coordinates of all 24 atoms:
Sm1 0.125 0.000 0.348
Sm2 0.274 0.502 0.121
Sm3 0.350 0.500 0.724
Sm4 0.650 0.000 0.276
Sm5 0.726 0.002 0.879
Sm6 0.875 0.500 0.652
Ga1 0.167 0.077 0.833
Ga2 0.833 0.577 0.167
Fe1 0.498 0.188 0.496
Fe2 0.502 0.688 0.504
S1 0.019 0.230 0.928
S2 0.072 0.231 0.591
S3 0.166 0.710 0.832
S4 0.265 0.423 0.401
S5 0.363 0.922 0.265
S6 0.402 0.923 0.637
S7 0.410 0.231 0.980
S8 0.590 0.731 0.020
S9 0.598 0.423 0.363
S10 0.637 0.422 0.735
S11 0.735 0.923 0.599
S12 0.834 0.210 0.168
S13 0.928 0.731 0.409
S14 0.981 0.730 0.072



Record 13
Entry from the Open Quantum Materials Database: a geometry-optimized Ga2FeSb structure (PBE-GGA).

- total energy (eV per atom) = -4.2767
- crystal system = cubic

abc: 4.750 4.750 4.750
angles: 60.00 60.00 60.00
Fractional coordinates of all 4 atoms:
Ga1 0.000 0.000 0.000
Ga2 0.250 0.250 0.250
Fe1 0.750 0.750 0.750
Sb1 0.500 0.500 0.500



Record 14
Entry from the Open Quantum Materials Database: a geometry-optimized GaFeSb structure (PBE-GGA).

- total energy (eV per atom) = -5.0973
- crystal system = cubic

abc: 4.244 4.244 4.244
angles: 60.00 60.00 60.00
Fractional coordinates of all 3 atoms:
Ga1 0.000 0.000 0.000
Fe1 0.250 0.250 0.250
Sb1 0.500 0.500 0.500



Record 15
Entry from the Open Quantum Materials Database: a geometry-optimized ScGaFe2 structure (PBE-GGA).

- total energy (eV per atom) = -6.6571
- crystal system = cubic

abc: 4.338 4.338 4.338
angles: 60.00 60.00 60.00
Fractional coordinates of all 4 atoms:
Sc1 0.000 0.000 0.000
Ga1 0.250 0.250 0.250
Fe1 0.500 0.500 0.500
Fe2 0.750 0.750 0.750



Record 16
Entry from the Open Quantum Materials Database: a geometry-optimized ScGaFe2 structure (PBE-GGA).

- total energy (eV per atom) = -6.6571
- crystal system = cubic

abc: 4.338 4.338 4.338
angles: 60.00 60.00 60.00
Fractional coordinates of all 4 atoms:
Sc1 0.000 0.000 0.000
Ga1 0.750 0.750 0.750
Fe1 0.250 0.250 0.250
Fe2 0.500 0.500 0.500



Record 17
Entry from the Open Quantum Materials Database: a geometry-optimized Sc2GaFe structure (PBE-GGA).

- total energy (eV per atom) = -6.1719
- crystal system = cubic

abc: 4.527 4.527 4.527
angles: 60.00 60.00 60.00
Fractional coordinates of all 4 atoms:
Sc1 0.000 0.000 0.000
Sc2 0.250 0.250 0.250
Ga1 0.500 0.500 0.500
Fe1 0.750 0.750 0.750



Record 18
Entry from the Open Quantum Materials Database: a geometry-optimized ScGa2Fe structure (PBE-GGA).

- total energy (eV per atom) = -5.3065
- crystal system = cubic

abc: 4.441 4.441 4.441
angles: 60.00 60.00 60.00
Fractional coordinates of all 4 atoms:
Sc1 0.000 0.000 0.000
Ga1 0.500 0.500 0.500
Ga2 0.750 0.750 0.750
Fe1 0.250 0.250 0.250



Record 19
Entry from the Open Quantum Materials Database: a geometry-optimized Sc3Ga6Fe2 structure (PBE-GGA).

- total energy (eV per atom) = -5.3677
- crystal system = orthorhombic

abc: 8.115 8.406 10.396
angles: 90.00 90.00 90.00
Fractional coordinates of all 44 atoms:
Sc1 0.040 0.250 0.064
Sc2 0.067 0.552 0.640
Sc3 0.067 0.948 0.640
Sc4 0.433 0.052 0.140
Sc5 0.433 0.448 0.140
Sc6 0.460 0.750 0.564
Sc7 0.540 0.250 0.436
Sc8 0.567 0.552 0.860
Sc9 0.567 0.948 0.860
Sc10 0.933 0.052 0.360
Sc11 0.933 0.448 0.360
Sc12 0.960 0.750 0.936
Ga1 0.098 0.750 0.409
Ga2 0.116 0.589 0.156
Ga3 0.116 0.911 0.156
Ga4 0.204 0.006 0.913
Ga5 0.204 0.494 0.913
Ga6 0.221 0.250 0.284
Ga7 0.279 0.750 0.784
Ga8 0.296 0.506 0.413
Ga9 0.296 0.994 0.413
Ga10 0.384 0.089 0.656
Ga11 0.384 0.411 0.656
Ga12 0.402 0.250 0.909
Ga13 0.598 0.750 0.091
Ga14 0.616 0.589 0.344
Ga15 0.616 0.911 0.344
Ga16 0.704 0.006 0.587
Ga17 0.704 0.494 0.587
Ga18 0.721 0.250 0.216
Ga19 0.779 0.750 0.716
Ga20 0.796 0.506 0.087
Ga21 0.796 0.994 0.087
Ga22 0.884 0.089 0.844
Ga23 0.884 0.411 0.844
Ga24 0.902 0.250 0.591
Fe1 0.137 0.250 0.764
Fe2 0.182 0.250 0.522
Fe3 0.318 0.750 0.022
Fe4 0.363 0.750 0.264
Fe5 0.637 0.250 0.736
Fe6 0.682 0.250 0.978
Fe7 0.818 0.750 0.478
Fe8 0.863 0.750 0.236



Record 20
Entry from the Open Quantum Materials Database: a geometry-optimized ScTaGaFe structure (PBE-GGA).

- total energy (eV per atom) = -7.3885
- crystal system = cubic

abc: 4.436 4.436 4.436
angles: 60.00 60.00 60.00
Fractional coordinates of all 4 atoms:
Sc1 0.000 0.000 0.000
Ta1 0.750 0.750 0.750
Ga1 0.250 0.250 0.250
Fe1 0.500 0.500 0.500